Compound: LaMnN3
Source: Alexandria
Functional: PBEsol
Structure: relaxed

Structure (CIF):
```
data_LaMnN3
_cell_length_a 10.623
_cell_length_b 4.024
_cell_length_c 7.028
_cell_angle_alpha 90.00
_cell_angle_beta 119.24
_cell_angle_gamma 90.00
_space_group_name_H-M_alt 'C 1 2/m 1'
_space_group_IT_number 12
loop_
_space_group_symop_operation_xyz
'x,y,z'
'-x,-y,-z'
'-x,y,-z'
'x,-y,z'
'x+1/2,y+1/2,z'
'-x+1/2,-y+1/2,-z'
'-x+1/2,y+1/2,-z'
'x+1/2,-y+1/2,z'
loop_
_atom_site_label
_atom_site_fract_x
_atom_site_fract_y
_atom_site_fract_z
La1 0.216 0.000 0.232
Mn1 0.042 0.000 0.686
N1 0.082 0.342 0.877
N2 0.142 0.000 0.536
```

Its crystal system is monoclinic. Its size of the total moment is 0.0 μB/f.u. The calculation puts the uncorrected formation energy at -843 meV/atom. The raw total energy comes out at -8.9801 eV per atom.